# 1
A plane-wave DFT calculation with PBE was carried out for a geometry-optimized La3SiOs structure.

a b c (Å): 5.467 5.467 5.467
angles (deg): 90.00 90.00 90.00
Fractional coordinates of all 5 atoms:
La1 0.000 0.000 0.500
La2 0.000 0.500 0.000
La3 0.500 0.000 0.000
Si1 0.500 0.500 0.500
Os1 0.000 0.000 0.000

Computed properties:
Crystal system: cubic
Energy relative to the elements, uncorrected (kJ/mol of atoms): -4
Theoretical density (g/cm3): 6.454
N(E_F) (states/eV/atom): 0.70
Energy above the lowest structure with this stoichiometry (meV/atom): 0

# 2
A plane-wave DFT calculation with PBE was carried out for a geometry-optimized LaSi3Os3 structure.

a b c (Å): 8.038 8.038 8.038
angles (deg): 49.33 49.33 49.33
Fractional coordinates of all 14 atoms:
La1 0.167 0.167 0.167
La2 0.833 0.833 0.833
Si1 0.141 0.687 0.383
Si2 0.313 0.617 0.859
Si3 0.383 0.141 0.687
Si4 0.617 0.859 0.313
Si5 0.687 0.383 0.141
Si6 0.859 0.313 0.617
Os1 0.013 0.594 0.259
Os2 0.259 0.013 0.594
Os3 0.406 0.741 0.987
Os4 0.594 0.259 0.013
Os5 0.741 0.987 0.406
Os6 0.987 0.406 0.741

Computed properties:
Crystal system: trigonal
Energy relative to the elements, uncorrected (kJ/mol of atoms): -14
Theoretical density (g/cm3): 9.604
N(E_F) (states/eV/atom): 0.67
Energy above the lowest structure with this stoichiometry (meV/atom): 0

# 3
A plane-wave DFT calculation with PBE was carried out for a geometry-optimized LaSi3Os3 structure.

a b c (Å): 6.560 6.560 6.560
angles (deg): 90.00 90.00 90.00
Fractional coordinates of all 14 atoms:
La1 0.000 0.000 0.000
La2 0.500 0.500 0.500
Si1 0.000 0.250 0.500
Si2 0.000 0.750 0.500
Si3 0.250 0.500 0.000
Si4 0.500 0.000 0.250
Si5 0.500 0.000 0.750
Si6 0.750 0.500 0.000
Os1 0.000 0.500 0.250
Os2 0.000 0.500 0.750
Os3 0.250 0.000 0.500
Os4 0.500 0.250 0.000
Os5 0.500 0.750 0.000
Os6 0.750 0.000 0.500

Computed properties:
Crystal system: cubic
Energy relative to the elements, uncorrected (kJ/mol of atoms): -6
Theoretical density (g/cm3): 9.338
N(E_F) (states/eV/atom): 0.38
Energy above the lowest structure with this stoichiometry (meV/atom): 82

# 4
A plane-wave DFT calculation with PBE was carried out for a geometry-optimized LaSi3Os structure.

a b c (Å): 5.109 5.109 5.109
angles (deg): 90.00 90.00 90.00
Fractional coordinates of all 5 atoms:
La1 0.000 0.000 0.000
Si1 0.000 0.000 0.500
Si2 0.000 0.500 0.000
Si3 0.500 0.000 0.000
Os1 0.500 0.500 0.500

Computed properties:
Crystal system: cubic
Energy relative to the elements, uncorrected (kJ/mol of atoms): 242
Theoretical density (g/cm3): 5.148
N(E_F) (states/eV/atom): 1.18